(1)
ZnCoRh2 | PBE | relaxed

Calculated volume: 55 Å³/f.u.
Total magnetic moment: 0.682 μB/atom
DOS at the Fermi energy: 4.0 states/eV/f.u.
Energy of formation from the pure elements: 0.0309 eV/atom

Cell: 2.6709 2.6709 8.5847 Å, 90.00 90.00 116.58°
With the nearest neighbours (Å) after each atom.
Sites, in units of the cell vectors:
1 Zn 0.0000 0.0000 0.0000  4 Rh 2.59, 6 Zn 2.67-2.81
2 Co 0.0000 0.0000 0.5000  4 Rh 2.54, 6 Co 2.67-2.81
3 Rh 0.5000 0.5000 0.2532  2 Co 2.54, 2 Zn 2.59, 6 Rh 2.67-2.81
4 Rh 0.5000 0.5000 0.7468  2 Co 2.54, 2 Zn 2.59, 6 Rh 2.67-2.81



(2)
ZnCoRh2 | PBE | relaxed

Calculated volume: 54 Å³/f.u.
Total magnetic moment: 0.827 μB/atom
DOS at the Fermi energy: 4.6 states/eV/f.u.
Energy of formation from the pure elements: -0.0937 eV/atom

Cell: 4.2890 4.2890 2.9276 Å, 90.00 90.00 90.00°
With the nearest neighbours (Å) after each atom.
Sites, in units of the cell vectors:
1 Zn 0.0000 0.0000 0.0000  8 Rh 2.60
2 Co 0.5000 0.5000 0.0000  8 Rh 2.60
3 Rh 0.0000 0.5000 0.5000  4 Co 2.60, 4 Zn 2.60
4 Rh 0.5000 0.0000 0.5000  4 Co 2.60, 4 Zn 2.60



(3)
ZnCoRh2 | PBE | relaxed

Calculated volume: 53 Å³/f.u.
Total magnetic moment: 0.170 μB/atom
DOS at the Fermi energy: 4.6 states/eV/f.u.
Energy of formation from the pure elements: -0.0666 eV/atom

Cell: 4.6469 4.6469 4.6469 Å, 133.02 133.02 68.62°
With the nearest neighbours (Å) after each atom.
Sites, in units of the cell vectors:
1 Zn 0.0000 0.0000 0.0000  8 Rh 2.62-2.67, 4 Co 2.67
2 Co 0.2500 0.7500 0.5000  8 Rh 2.62-2.67, 4 Zn 2.67
3 Rh 0.5000 0.5000 0.0000  4 Zn 2.62, 4 Co 2.67, 4 Rh 2.67
4 Rh 0.7500 0.2500 0.5000  4 Co 2.62, 4 Rh 2.67, 4 Zn 2.67



(4)
ZnCoRh2 | PBE | relaxed

Calculated volume: 54 Å³/f.u.
Total magnetic moment: 0.844 μB/atom
DOS at the Fermi energy: 2.9 states/eV/f.u.
Energy of formation from the pure elements: -0.1282 eV/atom

Cell: 2.9307 2.9307 6.2499 Å, 90.00 90.00 90.00°
With the nearest neighbours (Å) after each atom.
Sites, in units of the cell vectors:
1 Zn 0.0000 0.0000 0.0000  8 Rh 2.62, 4 Zn 2.93
2 Co 0.0000 0.0000 0.5000  8 Rh 2.57
3 Rh 0.5000 0.5000 0.2562  4 Co 2.57, 4 Zn 2.62
4 Rh 0.5000 0.5000 0.7438  4 Co 2.57, 4 Zn 2.62



(5)
ZnCoRh2 | PBE | relaxed

Calculated volume: 54 Å³/f.u.
Total magnetic moment: 0.569 μB/atom
DOS at the Fermi energy: 5.0 states/eV/f.u.
Energy of formation from the pure elements: -0.0765 eV/atom

Cell: 4.6716 4.6716 4.4796 Å, 101.72 101.72 34.08°
With the nearest neighbours (Å) after each atom.
Sites, in units of the cell vectors:
1 Zn 0.0000 0.0000 0.0000  7 Rh 2.59-2.66, 3 Co 2.70-2.78, 2 Zn 2.74
2 Co 0.7508 0.7508 0.2792  7 Rh 2.58-2.64, 3 Zn 2.70-2.78, 2 Co 2.74
3 Rh 0.2467 0.2467 0.7800  3 Zn 2.60-2.65, 4 Co 2.62-2.63, 5 Rh 2.71-2.81
4 Rh 0.4956 0.4956 0.4878  3 Co 2.58-2.64, 4 Zn 2.59-2.66, 5 Rh 2.71-2.81



(6)
ZnCoRh2 | PBE | relaxed

Calculated volume: 55 Å³/f.u.
Total magnetic moment: 0.789 μB/atom
DOS at the Fermi energy: 5.1 states/eV/f.u.
Energy of formation from the pure elements: 0.0653 eV/atom

Cell: 4.2620 4.2620 4.2620 Å, 60.00 60.00 60.00°
With the nearest neighbours (Å) after each atom.
Sites, in units of the cell vectors:
1 Zn 0.0000 0.0000 0.0000  4 Co 2.61, 4 Rh 2.61
2 Co 0.2500 0.2500 0.2500  4 Rh 2.61, 4 Zn 2.61
3 Rh 0.5000 0.5000 0.5000  4 Rh 2.61, 4 Co 2.61
4 Rh 0.7500 0.7500 0.7500  4 Rh 2.61, 4 Zn 2.61



(7)
Zn2CoRh | PBE | relaxed

Calculated volume: 58 Å³/f.u.
Total magnetic moment: 0.481 μB/atom
DOS at the Fermi energy: 4.3 states/eV/f.u.
Energy of formation from the pure elements: 0.2202 eV/atom

Cell: 5.4009 5.4009 5.4009 Å, 102.82 102.82 123.79°
With the nearest neighbours (Å) after each atom.
Sites, in units of the cell vectors:
1 Zn 0.1139 0.1250 0.4889  2 Co 2.42, 2 Rh 2.52, 2 Zn 2.55
2 Zn 0.3750 0.8861 0.0111  2 Co 2.42, 2 Rh 2.52, 2 Zn 2.55
3 Zn 0.6361 0.6250 0.5111  2 Co 2.42, 2 Rh 2.52, 2 Zn 2.55
4 Zn 0.8750 0.3639 0.9889  2 Co 2.42, 2 Rh 2.52, 2 Zn 2.55
5 Co 0.0000 0.0000 0.0000  4 Zn 2.42, 2 Rh 2.54
6 Co 0.7500 0.2500 0.5000  4 Zn 2.42, 2 Rh 2.54
7 Rh 0.2500 0.7500 0.5000  4 Zn 2.52, 2 Co 2.54
8 Rh 0.5000 0.5000 0.0000  4 Zn 2.52, 2 Co 2.54



(8)
ZnCoRh2 | PBE | relaxed

Calculated volume: 54 Å³/f.u.
Total magnetic moment: 0.377 μB/atom
DOS at the Fermi energy: 6.2 states/eV/f.u.
Energy of formation from the pure elements: 0.0082 eV/atom

Cell: 8.6263 8.6263 8.6263 Å, 18.05 18.05 18.05°
With the nearest neighbours (Å) after each atom.
Sites, in units of the cell vectors:
1 Zn 0.0000 0.0000 0.0000  3 Co 2.58, 3 Rh 2.67, 6 Zn 2.71
2 Co 0.7476 0.7476 0.7476  3 Rh 2.55, 3 Zn 2.58, 6 Co 2.71
3 Rh 0.2484 0.2484 0.2484  3 Zn 2.67, 9 Rh 2.71-2.74
4 Rh 0.4933 0.4933 0.4933  3 Co 2.55, 9 Rh 2.71-2.74



(9)
ZnCoRh2 | PBE | relaxed

Calculated volume: 54 Å³/f.u.
Total magnetic moment: 0.530 μB/atom
DOS at the Fermi energy: 6.0 states/eV/f.u.
Energy of formation from the pure elements: -0.0451 eV/atom

Cell: 4.5350 2.6968 4.7140 Å, 90.00 111.25 90.00°
With the nearest neighbours (Å) after each atom.
Sites, in units of the cell vectors:
1 Zn 0.0000 0.0000 0.0000  6 Rh 2.61-2.64, 2 Zn 2.70, 4 Co 2.72
2 Co 0.0000 0.5000 0.5000  6 Rh 2.61-2.64, 2 Co 2.70, 4 Zn 2.72
3 Rh 0.5000 0.0000 0.5000  2 Zn 2.61, 4 Co 2.64, 6 Rh 2.70-2.72
4 Rh 0.5000 0.5000 0.0000  2 Co 2.61, 4 Zn 2.64, 6 Rh 2.70-2.72



(10)
Zn2CoRh | PBE | relaxed

Calculated volume: 53 Å³/f.u.
Total magnetic moment: 0.464 μB/atom
DOS at the Fermi energy: 2.8 states/eV/f.u.
Energy of formation from the pure elements: -0.0924 eV/atom

Cell: 2.7449 3.6264 5.3525 Å, 90.00 90.00 90.00°
With the nearest neighbours (Å) after each atom.
Sites, in units of the cell vectors:
1 Zn 0.0000 0.0000 0.0000  2 Co 2.63-2.72, 4 Rh 2.65, 6 Zn 2.67-2.74
2 Zn 0.5000 0.5000 0.2626  2 Rh 2.59-2.76, 4 Co 2.63, 6 Zn 2.67-2.74
3 Co 0.0000 0.0000 0.5077  4 Rh 2.61, 6 Zn 2.63-2.72, 2 Co 2.74
4 Rh 0.5000 0.5000 0.7470  6 Zn 2.59-2.76, 4 Co 2.61, 2 Rh 2.74